# Cs3CeEr3Se8

A geometry-optimized Cs3CeEr3Se8 structure (GGA-PBE, the Alexandria database).

As for the volume: 520 Å³ per cell. As for the total energy: -5.06 eV/atom. The calculation puts the formation energy (no corrections) at -1.723 eV/atom.

a b c (Å): 8.3900 8.3925 9.8042
angles (deg): 115.37 90.00 119.99
Last column: nearest neighbours and their distance in Å.
Fractional coordinates of all 15 atoms:
Se (0.7277, 0.4553, 0.6825)  3 Er 2.88
Se (0.2283, 0.9542, 0.6820)  2 Er 2.87, 1 Ce 2.88
Se (0.7260, 0.9542, 0.6820)  2 Er 2.87, 1 Ce 2.88
Se (0.2740, 0.0458, 0.3180)  2 Er 2.87, 1 Ce 2.88
Se (0.7717, 0.5433, 0.3180)  2 Er 2.87, 1 Ce 2.89
Se (0.7717, 0.0458, 0.3180)  2 Er 2.87, 1 Ce 2.88
Se (0.2283, 0.4567, 0.6820)  2 Er 2.87, 1 Ce 2.89
Se (0.2723, 0.5447, 0.3175)  3 Er 2.88
Cs (0.5000, 0.5000, 0.0000)  6 Se 3.63-3.64
Cs (0.0000, 0.0000, 0.0000)  6 Se 3.63-3.64
Cs (0.0000, 0.5000, 0.0000)  6 Se 3.63-3.64
Er (0.5000, 0.5000, 0.5000)  6 Se 2.87-2.88
Er (0.0000, 0.5000, 0.5000)  6 Se 2.87-2.88
Er (0.5000, 0.0000, 0.5000)  6 Se 2.87-2.88
Ce (0.0000, 0.0000, 0.5000)  6 Se 2.88-2.89

=====

# Cs4Ce3ErTe8

A geometry-optimized Cs4Ce3ErTe8 structure (GGA-PBE, the Alexandria database).

As for the volume: 675 Å³ per cell. For the density of states at the Fermi level, the calculation gives 19.06 states/eV per cell. As for the total energy: -4.53 eV/atom. The calculation puts the formation energy (no corrections) at -1.347 eV/atom.

a b c (Å): 9.3505 10.4217 9.3509
angles (deg): 116.66 120.00 90.00
Last column: nearest neighbours and their distance in Å.
Fractional coordinates of all 16 atoms:
Ce (0.5000, 0.5000, 0.0000)  6 Te 3.21-3.23
Ce (0.5000, 0.5000, 0.5000)  6 Te 3.21-3.23
Ce (0.0000, 0.5000, 0.5000)  6 Te 3.21-3.23
Te (0.7317, 0.6951, 0.4633)  3 Ce 3.21
Te (0.2256, 0.6913, 0.4512)  1 Er 3.13, 2 Ce 3.23
Te (0.7743, 0.3088, 0.0343)  1 Er 3.13, 2 Ce 3.23
Te (0.7400, 0.6912, 0.9657)  1 Er 3.13, 2 Ce 3.23
Te (0.2257, 0.6912, 0.9657)  1 Er 3.13, 2 Ce 3.23
Te (0.2683, 0.3049, 0.5367)  3 Ce 3.21
Te (0.7744, 0.3087, 0.5488)  1 Er 3.13, 2 Ce 3.23
Te (0.2600, 0.3088, 0.0343)  1 Er 3.13, 2 Ce 3.23
Cs (0.5000, 0.0000, 0.0000)  6 Te 3.91
Cs (0.5000, 0.0000, 0.5000)  6 Te 3.83
Cs (0.0000, 0.0000, 0.0000)  6 Te 3.83
Cs (0.0000, 0.0000, 0.5000)  6 Te 3.83
Er (0.0000, 0.5000, 0.0000)  6 Te 3.13

=====

# Cs3CeEr2Te6

A geometry-optimized Cs3CeEr2Te6 structure (GGA-PBE, the Alexandria database).

As for the volume: 489 Å³ per cell. For the density of states at the Fermi level, the calculation gives 8.30 states/eV per cell. As for the total energy: -4.39 eV/atom. The calculation puts the formation energy (no corrections) at -1.355 eV/atom.

a b c (Å): 7.9604 7.9604 9.3033
angles (deg): 98.21 98.21 120.00
Last column: nearest neighbours and their distance in Å.
Fractional coordinates of all 12 atoms:
Te (0.0635, 0.4074, 0.1901)  2 Er 3.11, 1 Ce 3.22
Te (0.7191, 0.7191, 0.1891)  2 Er 3.11, 1 Ce 3.22
Te (0.5926, 0.9365, 0.8099)  2 Er 3.11, 1 Ce 3.22
Te (0.2809, 0.2809, 0.8109)  2 Er 3.11, 1 Ce 3.22
Te (0.9365, 0.5926, 0.8099)  2 Er 3.11, 1 Ce 3.22
Te (0.4074, 0.0635, 0.1901)  2 Er 3.11, 1 Ce 3.22
Ce (0.0000, 0.0000, 0.0000)  6 Te 3.22
Cs (0.8358, 0.1642, 0.5000)  6 Te 3.79-3.86
Cs (0.5000, 0.5000, 0.5000)  6 Te 3.78-3.86
Cs (0.1642, 0.8358, 0.5000)  6 Te 3.79-3.86
Er (0.3331, 0.6669, 0.0000)  6 Te 3.11
Er (0.6669, 0.3331, 0.0000)  6 Te 3.11

=====

# Cs3CeF8

A geometry-optimized Cs3CeF8 structure (GGA-PBE, the Alexandria database).

As for the volume: 271 Å³ per cell. For the density of states at the Fermi level, the calculation gives 6.50 states/eV per cell. As for the total energy: -4.94 eV/atom. The calculation puts the formation energy (no corrections) at -2.989 eV/atom.

a b c (Å): 7.3296 7.2313 7.3296
angles (deg): 59.55 90.00 120.45
Last column: nearest neighbours and their distance in Å.
Fractional coordinates of all 12 atoms:
Cs (0.7500, 0.5000, 0.7500)  4 F 2.99
Cs (0.2500, 0.5000, 0.2500)  4 F 2.99
Cs (0.5000, 0.0000, 0.5000)  8 F 3.03-3.24
Ce (0.0000, 0.0000, 0.0000)  8 F 2.22-2.35
F (0.7464, 0.9134, 0.8330)  1 Ce 2.22
F (0.9140, 0.5980, 0.0860)  1 Ce 2.35, 1 F 2.38
F (0.6840, 0.5980, 0.3160)  1 Ce 2.35, 1 F 2.38
F (0.0860, 0.4020, 0.6840)  1 Ce 2.35, 1 F 2.38
F (0.1670, 0.9134, 0.2536)  1 Ce 2.22
F (0.2536, 0.0866, 0.7464)  1 Ce 2.22
F (0.3160, 0.4020, 0.9140)  1 Ce 2.35, 1 F 2.38
F (0.8330, 0.0866, 0.1670)  1 Ce 2.22

=====

# CsCeF5

A geometry-optimized CsCeF5 structure (GGA-PBE, the Alexandria database).

As for the volume: 192 Å³ per cell. For the density of states at the Fermi level, the calculation gives 0.00 states/eV per cell. As for the total energy: -5.84 eV/atom. The calculation puts the formation energy (no corrections) at -3.529 eV/atom.

a b c (Å): 4.6093 6.9190 6.9190
angles (deg): 73.48 70.54 70.54
Last column: nearest neighbours and their distance in Å.
Fractional coordinates of all 7 atoms:
F (0.5039, 0.7586, 0.2414)  1 Ce 2.14
F (0.0043, 0.5000, 0.5000)  2 Ce 2.30
F (0.2954, 0.7097, 0.7097)  1 Ce 2.11
F (0.5039, 0.2414, 0.7586)  1 Ce 2.14
F (0.7147, 0.2903, 0.2903)  1 Ce 2.11
Ce (0.5044, 0.5000, 0.5000)  6 F 2.11-2.30
Cs (0.0041, 0.0000, 0.0000)  6 F 2.93-3.05

=====

# CsCe2F8

A geometry-optimized CsCe2F8 structure (GGA-PBE, the Alexandria database).

As for the volume: 187 Å³ per cell. For the density of states at the Fermi level, the calculation gives 7.87 states/eV per cell. As for the total energy: -6.28 eV/atom. The calculation puts the formation energy (no corrections) at -3.764 eV/atom.

a b c (Å): 4.5399 6.7592 6.7592
angles (deg): 115.26 93.23 93.23
Last column: nearest neighbours and their distance in Å.
Fractional coordinates of all 11 atoms:
F (0.7491, 0.4111, 0.4111)  2 Ce 2.34, 1 F 2.50
F (0.9491, 0.6611, 0.9610)  2 Ce 2.30-2.43, 1 F 2.51
F (0.0509, 0.0390, 0.3389)  2 Ce 2.30-2.43, 1 F 2.51
F (0.5000, 0.7208, 0.2792)  2 Ce 2.33
F (0.2509, 0.5889, 0.5889)  2 Ce 2.34, 1 F 2.50
F (0.0509, 0.3389, 0.0390)  2 Ce 2.30-2.43, 1 F 2.51
F (0.9491, 0.9610, 0.6611)  2 Ce 2.30-2.43, 1 F 2.51
F (0.5000, 0.2792, 0.7208)  2 Ce 2.33
Ce (0.0000, 0.6733, 0.3267)  8 F 2.30-2.43
Ce (0.0000, 0.3267, 0.6733)  8 F 2.30-2.43
Cs (0.5000, 0.0000, 0.0000)  12 F 3.07-3.22

=====

# Cs3Ce2F9

A geometry-optimized Cs3Ce2F9 structure (GGA-PBE, the Alexandria database).

As for the volume: 636 Å³ per cell. For the density of states at the Fermi level, the calculation gives 7.47 states/eV per cell. As for the total energy: -5.65 eV/atom. The calculation puts the formation energy (no corrections) at -3.419 eV/atom.

a b c (Å): 8.5991 8.5991 8.5991
angles (deg): 89.01 89.01 89.01
Last column: nearest neighbours and their distance in Å.
Fractional coordinates of all 28 atoms:
F (0.9177, 0.2612, 0.0617)  1 Ce 2.23
F (0.5617, 0.7612, 0.4177)  1 Ce 2.23
F (0.2500, 0.3849, 0.1151)  2 Ce 2.41
F (0.0823, 0.7388, 0.9383)  1 Ce 2.23
F (0.8849, 0.7500, 0.6151)  2 Ce 2.41
F (0.5823, 0.4383, 0.2388)  1 Ce 2.23
F (0.4383, 0.2388, 0.5823)  1 Ce 2.23
F (0.7500, 0.6151, 0.8849)  2 Ce 2.41
F (0.3849, 0.1151, 0.2500)  2 Ce 2.41
F (0.0617, 0.9177, 0.2612)  1 Ce 2.23
F (0.6151, 0.8849, 0.7500)  2 Ce 2.41
F (0.1151, 0.2500, 0.3849)  2 Ce 2.41
F (0.7388, 0.9383, 0.0823)  1 Ce 2.23
F (0.2612, 0.0617, 0.9177)  1 Ce 2.23
F (0.7612, 0.4177, 0.5617)  1 Ce 2.23
F (0.9383, 0.0823, 0.7388)  1 Ce 2.23
F (0.4177, 0.5617, 0.7612)  1 Ce 2.23
F (0.2388, 0.5823, 0.4383)  1 Ce 2.23
Cs (0.9212, 0.5788, 0.2500)  10 F 3.18-3.50
Cs (0.7500, 0.0788, 0.4212)  10 F 3.18-3.50
Cs (0.4212, 0.7500, 0.0788)  10 F 3.18-3.50
Cs (0.5788, 0.2500, 0.9212)  10 F 3.18-3.50
Cs (0.2500, 0.9212, 0.5788)  10 F 3.18-3.50
Cs (0.0788, 0.4212, 0.7500)  10 F 3.18-3.50
Ce (0.3671, 0.3671, 0.3671)  6 F 2.23-2.41
Ce (0.6329, 0.6329, 0.6329)  6 F 2.23-2.41
Ce (0.1329, 0.1329, 0.1329)  6 F 2.23-2.41
Ce (0.8671, 0.8671, 0.8671)  6 F 2.23-2.41

=====

# CsCe2F7

A geometry-optimized CsCe2F7 structure (GGA-PBE, the Alexandria database).

As for the volume: 211 Å³ per cell. For the density of states at the Fermi level, the calculation gives 6.16 states/eV per cell. As for the total energy: -6.35 eV/atom. The calculation puts the formation energy (no corrections) at -3.771 eV/atom.

a b c (Å): 4.6425 7.1431 7.1431
angles (deg): 117.27 90.00 90.00
Last column: nearest neighbours and their distance in Å.
Fractional coordinates of all 10 atoms:
F (0.0000, 0.2965, 0.7035)  2 Ce 2.33
F (0.5000, 0.3364, 0.0412)  2 Ce 2.37-2.42
F (0.0000, 0.7035, 0.2965)  2 Ce 2.33
F (0.5000, 0.5000, 0.5000)  2 Ce 2.33
F (0.5000, 0.6636, 0.9588)  2 Ce 2.37-2.42
F (0.5000, 0.0412, 0.3364)  2 Ce 2.37-2.42
F (0.5000, 0.9588, 0.6636)  2 Ce 2.37-2.42
Cs (0.0000, 0.0000, 0.0000)  10 F 3.26-3.62
Ce (0.5000, 0.6908, 0.3092)  7 F 2.33-2.42
Ce (0.5000, 0.3092, 0.6908)  7 F 2.33-2.42

=====

# CsCeInF6

A geometry-optimized CsCeInF6 structure (GGA-PBE, the Alexandria database).

As for the volume: 224 Å³ per cell. As for the total energy: -5.41 eV/atom. The calculation puts the formation energy (no corrections) at -3.108 eV/atom.

a b c (Å): 6.8868 6.8863 5.4681
angles (deg): 90.09 89.91 59.56
Last column: nearest neighbours and their distance in Å.
Fractional coordinates of all 9 atoms:
In (0.6668, 0.6668, 0.4996)  6 F 2.71-2.75
Cs (0.0005, 0.0005, 0.9998)  6 F 3.04
F (0.6000, 0.0532, 0.2910)  1 Ce 2.19
F (0.3472, 0.5947, 0.2870)  1 Ce 2.19
F (0.3469, 0.0574, 0.7119)  1 Ce 2.19
F (0.5943, 0.3478, 0.7133)  1 Ce 2.19
F (0.0578, 0.3464, 0.2882)  1 Ce 2.19
F (0.0528, 0.5998, 0.7091)  1 Ce 2.19
Ce (0.3335, 0.3336, 0.5001)  6 F 2.19